A plane-wave DFT calculation with PBE-GGA was carried out for crystalline ZrCrHg4 at its relaxed geometry.

## Properties
- Space group: F-43m (216)
- V: 132.0 Å³/cell
- Formation energy: 0.455 eV per atom
- Uncorrected energy: -2.775 eV/atom

Unit cell a=5.715 b=5.715 c=5.715 alpha=60.00 beta=60.00 gamma=60.00
Element x y z (fractional)
1 Hg 0.375 0.375 0.375
2 Hg 0.375 0.875 0.375
3 Hg 0.375 0.375 0.875
4 Hg 0.875 0.375 0.375
5 Zr 0.750 0.750 0.750
6 Cr 0.000 0.000 0.000

=====

A plane-wave DFT calculation with PBE-GGA was carried out for crystalline ZrCr2Hg at its relaxed geometry.

## Properties
- Space group: P4/mmm (123)
- V: 72.0 Å³/cell
- Energy above the most stable polymorph in this dataset: 259 meV per atom
- Formation energy: 0.387 eV per atom
- Uncorrected energy: -6.637 eV/atom

Unit cell a=3.325 b=3.316 c=6.532 alpha=90.00 beta=90.00 gamma=90.00
Element x y z (fractional)
1 Zr 0.500 0.500 0.750
2 Hg 0.500 0.500 0.250
3 Cr 0.000 0.000 0.999
4 Cr 0.000 0.000 0.501

=====

A plane-wave DFT calculation with PBE-GGA was carried out for crystalline ZrCr3Hg at its relaxed geometry.

## Properties
- Space group: Pm-3m (221)
- V: 122.5 Å³/cell
- Energy above the most stable polymorph in this dataset: 0 meV per atom
- Formation energy: 1.555 eV per atom
- Uncorrected energy: -5.989 eV/atom

Unit cell a=4.967 b=4.967 c=4.967 alpha=90.00 beta=90.00 gamma=90.00
Element x y z (fractional)
1 Cr 0.000 0.500 0.000
2 Cr 0.500 0.000 0.000
3 Cr 0.000 0.000 0.500
4 Hg 0.000 0.000 0.000
5 Zr 0.500 0.500 0.500

=====

A plane-wave DFT calculation with PBE-GGA was carried out for crystalline ZrCr2Hg at its relaxed geometry.

## Properties
- Space group: F-43m (216)
- V: 73.4 Å³/cell
- Energy above the most stable polymorph in this dataset: 164 meV per atom
- Formation energy: 0.292 eV per atom
- Uncorrected energy: -6.732 eV/atom

Unit cell a=4.701 b=4.701 c=4.701 alpha=60.00 beta=60.00 gamma=60.00
Element x y z (fractional)
1 Hg 0.500 0.500 0.500
2 Cr 0.000 0.000 0.000
3 Cr 0.750 0.750 0.750
4 Zr 0.250 0.250 0.250

=====

A plane-wave DFT calculation with PBE-GGA was carried out for crystalline ZrCrHg2 at its relaxed geometry.

## Properties
- Space group: P4mm (99)
- V: 81.4 Å³/cell
- Energy above the most stable polymorph in this dataset: 13 meV per atom
- Formation energy: 0.155 eV per atom
- Uncorrected energy: -4.539 eV/atom

Unit cell a=3.252 b=3.252 c=7.693 alpha=90.00 beta=90.00 gamma=90.00
Element x y z (fractional)
1 Zr 0.000 0.000 0.528
2 Cr 0.500 0.500 0.749
3 Hg 0.000 0.000 0.973
4 Hg 0.500 0.500 0.250

=====

A plane-wave DFT calculation with PBE-GGA was carried out for crystalline ZrCr2Hg at its relaxed geometry.

## Properties
- Space group: I-42d (122)
- V: 158.8 Å³/cell
- Energy above the most stable polymorph in this dataset: 656 meV per atom
- Formation energy: 0.784 eV per atom
- Uncorrected energy: -6.240 eV/atom

Unit cell a=7.344 b=7.344 c=5.970 alpha=52.04 beta=52.04 gamma=90.00
Element x y z (fractional)
1 Cr 0.119 0.625 0.250
2 Cr 0.631 0.125 0.250
3 Cr 0.875 0.881 0.750
4 Cr 0.375 0.369 0.750
5 Zr 0.500 0.500 0.000
6 Zr 0.250 0.750 0.500
7 Hg 0.750 0.250 0.500
8 Hg 0.000 0.000 0.000

=====

Q: What is the formation energy in the sixth record?
A: 0.784 eV per atom